An optimized crystal structure of KZrMo2. Source: Alexandria, functional PBE.

The structure in extended XYZ format:
```
4
Lattice="5.975 0.008 0.000 -3.306 4.977 0.000 0.000 0.000 2.687" Properties=species:S:1:pos:R:3 pbc="T T T"
K -1.653 2.489 1.343
Mo 0.000 0.000 0.000
Mo 1.335 2.492 0.000
Zr 2.987 0.004 1.343
```

Results
DFT formation energy in eV per formula unit: 4.7
ΔE to the lowest computed polymorph in eV/f.u.: 2.44
Calculated total energy in eV per atom: -6.66

***

An optimized crystal structure of Zr5Ir. Source: Alexandria, functional PBE.

The structure in extended XYZ format:
```
6
Lattice="3.382 0.000 0.000 -1.691 5.489 0.000 0.000 2.479 6.867" Properties=species:S:1:pos:R:3 pbc="T T T"
Ir 0.000 2.646 6.485
Zr 0.000 6.134 5.471
Zr 1.691 3.707 4.332
Zr 0.000 1.406 3.052
Zr 0.000 4.597 1.770
Zr 1.691 2.169 0.633
```

Results
DFT formation energy in eV per formula unit: -1.7
ΔE to the lowest computed polymorph in eV/f.u.: 0.00
Calculated total energy in eV per atom: -8.89

***

An optimized crystal structure of TaPt2Se. Source: Alexandria, functional PBE.

The structure in extended XYZ format:
```
4
Lattice="4.552 0.002 0.000 0.013 4.552 0.000 -2.282 -2.277 3.213" Properties=species:S:1:pos:R:3 pbc="T T T"
Pt 0.000 0.000 0.000
Pt 0.006 2.276 1.607
Se 2.282 2.277 0.000
Ta 2.276 0.001 1.607
```

Results
Formation energy without anion corrections in eV per atom: -0.17
Calculated total energy in eV per atom: -7.03

***

An optimized crystal structure of Rb2BaTa. Source: Alexandria, functional PBE.

The structure in extended XYZ format:
```
8
Lattice="-5.003 -0.865 1.698 1.834 -0.896 4.950 -2.993 13.338 6.418" Properties=species:S:1:pos:R:3 pbc="T T T"
Ba -1.585 -0.880 3.324
Ba -1.371 5.781 7.346
Rb -3.760 2.662 3.323
Rb -0.113 2.686 4.871
Rb -3.475 9.364 7.193
Rb -4.975 8.443 10.743
Ta 0.000 0.000 0.000
Ta -4.790 5.796 5.720
```

Results
DFT formation energy in eV per formula unit: 5.6
ΔE to the lowest computed polymorph in eV/f.u.: 0.00
Calculated total energy in eV per atom: -2.53

***

An optimized crystal structure of Pm4NdHo6. Source: Alexandria, functional PBE.

The structure in extended XYZ format:
```
11
Lattice="3.989 5.621 -6.849 -0.786 -9.386 2.388 -8.542 -4.048 2.252" Properties=species:S:1:pos:R:3 pbc="T T T"
Pm -0.621 -6.016 1.548
Pm -1.893 -2.773 -0.904
Pm -5.434 -2.703 1.464
Pm -6.720 -9.754 0.324
Nd 0.000 0.000 0.000
Ho -4.456 -9.358 2.928
Ho -7.219 -7.456 2.880
Ho -3.731 -5.417 0.123
Ho 1.601 -1.882 -2.230
Ho 0.739 0.985 -3.499
Ho -2.276 0.787 -2.298
```

Results
DFT formation energy in eV per formula unit: 3.4
ΔE to the lowest computed polymorph in eV/f.u.: 1.70
Calculated total energy in eV per atom: -4.35

***

An optimized crystal structure of YIn2Co. Source: Alexandria, functional PBE.

The structure in extended XYZ format:
```
4
Lattice="0.000 3.443 3.443 3.443 0.000 3.443 3.443 3.443 0.000" Properties=species:S:1:pos:R:3 pbc="T T T"
Y 3.443 3.443 3.443
Co 0.000 0.000 0.000
In 1.722 1.722 1.722
In 5.165 5.165 5.165
```

Results
DFT formation energy in eV per formula unit: -0.2
Calculated total energy in eV per atom: -4.80

***

An optimized crystal structure of PmZn6Pd2. Source: Alexandria, functional PBE.

The structure in extended XYZ format:
```
18
Lattice="-0.238 7.975 -2.196 -5.078 5.222 3.926 3.102 5.776 5.049" Properties=species:S:1:pos:R:3 pbc="T T T"
Pm -1.107 9.486 3.390
Pm -1.661 14.230 5.084
Zn 1.079 7.559 4.251
Zn -3.294 11.414 2.528
Zn -3.170 7.271 3.668
Zn -1.558 10.272 6.291
Zn -2.576 6.526 0.898
Zn -0.136 4.017 -0.989
Zn 0.955 11.701 3.111
Zn 1.469 2.960 2.492
Zn 1.354 6.792 1.437
Zn -0.971 5.470 4.379
Zn -0.656 8.701 0.488
Zn -2.462 2.694 1.953
Pd -0.277 2.372 0.847
Pd -2.816 4.983 2.811
Pd 1.274 5.260 3.372
Pd -0.396 6.359 -0.250
```

Results
DFT formation energy in eV per formula unit: 0.9
Calculated total energy in eV per atom: -2.44

***

An optimized crystal structure of InAgPt. Source: Alexandria, functional PBE.

The structure in extended XYZ format:
```
12
Lattice="5.461 -0.028 -0.019 1.738 6.842 0.026 1.734 1.425 6.693" Properties=species:S:1:pos:R:3 pbc="T T T"
Ag 3.496 5.887 6.170
Ag 7.175 6.485 3.890
Ag 5.436 2.352 0.531
Ag 1.758 1.755 2.810
Pt 2.626 3.836 4.503
Pt 2.628 6.546 1.168
Pt 6.307 4.404 2.198
Pt 6.305 1.694 5.532
In 5.316 4.137 4.749
In 5.317 6.848 1.417
In 3.617 4.102 1.951
In 3.615 1.392 5.284
```

Results
DFT formation energy in eV per formula unit: -0.6
ΔE to the lowest computed polymorph in eV/f.u.: 0.00
Calculated total energy in eV per atom: -4.07

***

An optimized crystal structure of PuPa4Pt3. Source: Alexandria, functional PBE.

The structure in extended XYZ format:
```
16
Lattice="4.897 0.000 0.000 0.000 6.949 0.000 0.000 0.000 9.807" Properties=species:S:1:pos:R:3 pbc="T T T"
Pa 0.315 5.912 0.000
Pa 2.764 4.259 0.000
Pa 0.315 0.975 2.469
Pa 2.764 5.974 2.434
Pa 0.315 2.690 4.903
Pa 2.764 1.037 4.903
Pa 2.764 5.974 7.372
Pa 0.315 0.975 7.337
Pt 2.764 0.718 0.000
Pt 0.315 4.314 2.564
Pt 2.764 2.635 2.340
Pt 0.315 6.231 4.903
Pt 2.764 2.635 7.467
Pt 0.315 4.314 7.243
Pu 0.315 2.534 0.000
Pu 2.764 4.415 4.903
```

Results
DFT formation energy in eV per formula unit: -4.2
Calculated total energy in eV per atom: -9.33

***

An optimized crystal structure of Tb4PmTm15. Source: Alexandria, functional PBE.

The structure in extended XYZ format:
```
20
Lattice="4.963 0.000 0.000 0.000 4.963 0.000 0.000 0.000 24.795" Properties=species:S:1:pos:R:3 pbc="T T T"
Tb 0.000 0.000 4.973
Tb 0.000 0.000 9.925
Tb 0.000 0.000 14.870
Tb 0.000 0.000 19.821
Pm 0.000 0.000 0.000
Tm 2.481 2.481 0.000
Tm 2.481 2.481 4.981
Tm 2.481 2.481 9.923
Tm 2.481 2.481 14.872
Tm 2.481 2.481 19.814
Tm 2.481 0.000 2.505
Tm 2.481 0.000 7.451
Tm 2.481 0.000 12.397
Tm 2.481 0.000 17.344
Tm 2.481 0.000 22.290
Tm 0.000 2.481 2.505
Tm 0.000 2.481 7.451
Tm 0.000 2.481 12.397
Tm 0.000 2.481 17.344
Tm 0.000 2.481 22.290
```

Results
DFT formation energy in eV per formula unit: 0.5
Calculated total energy in eV per atom: -4.49

***

An optimized crystal structure of Hg3BF. Source: Alexandria, functional PBE.

The structure in extended XYZ format:
```
5
Lattice="-1.291 3.738 2.325 -3.554 0.545 -2.849 -2.598 -2.603 2.742" Properties=species:S:1:pos:R:3 pbc="T T T"
B 0.000 0.000 0.000
Hg -1.777 0.273 -1.425
Hg -1.299 -1.301 1.371
Hg -0.645 1.869 1.163
F -3.721 0.840 1.109
```

Results
Formation energy without anion corrections in eV per atom: -0.11
ΔE to the lowest computed polymorph in eV/f.u.: 0.00
Calculated total energy in eV per atom: -2.00

***

An optimized crystal structure of Ca2YGaAs. Source: Alexandria, functional PBE.

The structure in extended XYZ format:
```
5
Lattice="-1.395 3.421 -4.030 3.543 -2.433 -3.291 -3.891 -3.485 -1.612" Properties=species:S:1:pos:R:3 pbc="T T T"
Y 1.771 -1.216 -1.646
As -0.872 -1.249 -4.467
Ca -1.946 -1.743 -0.806
Ca -0.697 1.711 -2.015
Ga 0.000 0.000 0.000
```

Results
DFT formation energy in eV per formula unit: -0.8
Calculated total energy in eV per atom: -3.78

***

calculated total energy of number 10 (Tb4PmTm15)?
-4.49 eV per atom